# 1
The following is a DFT calculation (PBE-GGA) of a relaxed structure of Sm2Dy3Er7.

Structure (POSCAR):
```
Sm2Dy3Er7
1.0
-3.222 0.169 1.559
-1.404 -4.928 -2.371
7.452 -6.646 16.125
Sm Dy Er
2 3 7
Direct
0.000 0.853 0.706
0.000 0.147 0.294
0.500 0.500 0.000
0.500 0.686 0.371
0.500 0.314 0.629
0.000 0.410 0.820
0.000 0.769 0.539
0.000 0.000 0.000
0.000 0.590 0.180
0.500 0.071 0.142
0.500 0.929 0.858
0.000 0.231 0.461
```

Calculated values
Total energy, hartree per atom: -0.1649
Formation enthalpy at 0 K, meV per atom: 112
SG: Cmmm, No. 65
E above lowest polymorph, meV/atom: 30
DOS(E_F), states/eV per atom: 1.496

# 2
The following is a DFT calculation (PBE-GGA) of a relaxed structure of KLi3Ru.

Structure (POSCAR):
```
KLi3Ru
1.0
-1.332 -1.661 4.509
0.573 -4.700 -1.562
4.771 0.100 1.447
Ru K Li
1 1 3
Direct
0.000 0.000 0.000
0.500 0.500 0.500
0.000 0.500 0.000
0.000 0.000 0.500
0.500 0.000 0.000
```

Calculated values
Total energy, hartree per atom: -0.0963
Formation enthalpy at 0 K, meV per atom: 602
SG: Pm-3m, No. 221
E above lowest polymorph, meV/atom: 0
DOS(E_F), states/eV per atom: 0.736

# 3
The following is a DFT calculation (PBE-GGA) of a relaxed structure of LaSc2Te.

Structure (POSCAR):
```
LaSc2Te
1.0
3.756 0.000 0.000
0.000 3.756 0.000
0.000 0.000 7.359
La Sc Te
1 2 1
Direct
0.500 0.500 0.750
0.000 0.000 0.037
0.000 0.000 0.463
0.500 0.500 0.250
```

Calculated values
Total energy, hartree per atom: -0.2088
SG: P4/mmm, No. 123
Formation energy without anion corrections, kJ per mole of atoms: -48.1
DOS(E_F), states/eV per atom: 1.080

# 4
The following is a DFT calculation (PBE-GGA) of a relaxed structure of BaSrH2S.

Structure (POSCAR):
```
BaSrH2S
1.0
4.156 0.000 0.000
-2.078 6.687 0.000
0.000 0.000 8.159
Ba Sr H S
2 2 4 2
Direct
0.744 0.488 0.750
0.256 0.512 0.250
0.000 0.000 0.000
0.000 0.000 0.500
0.178 0.356 0.934
0.822 0.644 0.066
0.178 0.356 0.566
0.822 0.644 0.434
0.450 0.900 0.750
0.550 0.100 0.250
```

Calculated values
Total energy, hartree per atom: -0.1480
SG: Cmcm, No. 63
DOS(E_F), states/eV per atom: 0.000

# 5
The following is a DFT calculation (PBE-GGA) of a relaxed structure of Y4Sb2Te.

Structure (POSCAR):
```
Y4Sb2Te
1.0
7.508 0.000 -2.651
-3.770 6.491 -2.656
0.033 0.000 7.963
Y Sb Te
8 4 2
Direct
0.769 0.251 0.873
0.981 0.605 0.732
0.622 0.749 0.518
0.128 0.395 0.377
0.482 0.105 0.231
0.623 0.751 0.019
0.268 0.249 0.872
0.127 0.895 0.378
0.375 0.876 0.751
0.501 0.376 0.625
0.875 0.124 0.499
0.249 0.624 0.125
0.750 0.500 0.250
0.000 0.000 0.000
```

Calculated values
Total energy, hartree per atom: -0.2345
SG: I-42d, No. 122
Formation energy without anion corrections, kJ per mole of atoms: -102.3
DOS(E_F), states/eV per atom: 1.099

# 6
The following is a DFT calculation (PBE-GGA) of a relaxed structure of NbSbRu3.

Structure (POSCAR):
```
NbSbRu3
1.0
4.727 0.000 0.000
0.000 4.727 0.000
0.000 0.000 4.727
Sb Nb Ru
1 1 3
Direct
0.500 0.500 0.500
0.000 0.000 0.000
0.000 0.500 0.000
0.000 0.000 0.500
0.500 0.000 0.000
```

Calculated values
Total energy, hartree per atom: -0.2588
SG: Pm-3m, No. 221
Formation energy without anion corrections, kJ per mole of atoms: 131.4
E above lowest polymorph, meV/atom: 0
DOS(E_F), states/eV per atom: 1.805